The following is a DFT calculation (PBEsol) of an optimized crystal structure of CrCo2Ir.

The offset from the most stable computed form is 0.0 meV/atom. The space group is P4/mmm. As for the formation energy: -0.080 eV per atom.

abc: 3.556 3.556 3.588
angles: 90.00 90.00 90.00
Site moments in Bohr magnetons follow the coordinates.
Positions (direct):
1 Cr 0.500 0.500 0.500  1.36
2 Ir 0.000 0.000 0.500  -0.15
3 Co 0.000 0.500 0.000  -0.47
4 Co 0.500 0.000 0.000  -0.47